Computed, not measured: a relaxed structure of BaMg2Hg2 at the PBEsol level of DFT.

The space group is I4/mmm (No. 139) and the conventional cell measures 4.6467, 4.6467 and 12.7802 Å, with angles of 90.00, 90.00 and 90.00 degrees. The inequivalent atoms are Ba at (0.0000, 0.0000, 0.0000), Mg at (0.0000, 0.5000, 0.2500) and Hg at (0.0000, 0.0000, 0.3833).

The calculation puts the density of states at the Fermi level at 0.72 states/eV per atom. For the total DFT energy (no corrections), the calculation gives -17.566 eV for the cell shown.